First-principles (PBE) data for a relaxed SrLi2Ni crystal, as listed in Alexandria.

a = 3.8945 Å, b = 4.0193 Å, c = 6.3699 Å
α = 90.00°, β = 106.65°, γ = 90.00°
With the nearest neighbours (Å) after each atom.
Sites, in units of the cell vectors:
Sr1 0.0000 0.0000 0.0000  4 Ni 3.08-3.09, 3 Li 3.35-3.38
Li1 0.2924 0.0000 0.5530  2 Ni 2.47
Li2 0.7618 0.5000 0.4945  2 Ni 2.64, 4 Li 2.81-2.83
Ni1 0.3993 0.5000 0.7869  4 Li 2.47-2.64

Results
The total moment is 0.000 μB/f.u. Its symmetry is No. 6. The total energy comes out at -10.843 eV for the cell shown.